SrPdO3 (PBE-GGA, optimized geometry); E_form (uncorrected) = -1.27 eV per atom; DFT total energy = -5.62 eV/atom; theoretical density = 5.7 g/cm³; SG = Cmc2_1 (36)
1.0
1.9851 -8.4684 0.0000
1.9851 8.4684 0.0000
0.0000 0.0000 4.1589
Sr Pd O
2 2 6
Cartesian
1.9851 5.6049 2.0794
1.9851 -5.6049 0.0000
1.9851 1.1423 1.9660
1.9851 -1.1423 4.0454
1.9851 6.9900 0.0286
1.9851 3.1661 1.8464
1.9851 0.9217 4.0764
1.9851 -0.9217 1.9970
1.9851 -3.1661 3.9258
1.9851 -6.9900 2.1080

=====

HgB3C (PBE-GGA, optimized geometry); formation energy from the elements = 3.4858 eV per atom; DFT total energy = -2.43 eV/atom; theoretical density = 5.1 g/cm³; energy relative to the lowest polymorph listed for this composition = 1466 meV per atom; SG = Pm-3m (221)
1.0
4.3056 0.0000 0.0000
0.0000 4.3056 0.0000
0.0000 0.0000 4.3056
Hg B C
1 3 1
Cartesian
0.0000 0.0000 0.0000
0.0000 0.0000 2.1528
0.0000 2.1528 0.0000
2.1528 0.0000 0.0000
2.1528 2.1528 2.1528

=====

NbZnFe (PBE-GGA, optimized geometry); formation energy from the elements = -0.0389 eV per atom; DFT total energy = -6.64 eV/atom; theoretical density = 8.3 g/cm³; SG = Imma (74)
1.0
4.9085 0.0000 0.0000
0.0000 4.9702 0.0000
0.0000 0.0000 6.9968
Nb Zn Fe
4 4 4
Cartesian
0.0000 1.2426 0.8498
0.0000 3.7277 6.1470
2.4543 1.2426 2.6486
2.4543 3.7277 4.3482
0.0000 0.0000 3.4984
0.0000 2.4851 3.4984
2.4543 0.0000 0.0000
2.4543 2.4851 0.0000
1.2271 1.2426 5.2476
1.2271 3.7277 1.7492
3.6814 1.2426 5.2476
3.6814 3.7277 1.7492

=====

ErTmZr2 (PBE-GGA, optimized geometry); formation energy from the elements = 0.2083 eV per atom; DFT total energy = -6.32 eV/atom; theoretical density = 8.3 g/cm³; energy relative to the lowest polymorph listed for this composition = 126 meV per atom; SG = P4/mmm (123)
1.0
3.9162 0.0000 0.0000
0.0000 3.9162 0.0000
0.0000 0.0000 6.7890
Er Tm Zr
1 1 2
Cartesian
0.0000 0.0000 0.0000
0.0000 0.0000 3.3945
1.9581 1.9581 1.8054
1.9581 1.9581 4.9836

=====

BaLiCaTl (PBE-GGA, optimized geometry); formation energy from the elements = -0.2252 eV per atom; DFT total energy = -2.28 eV/atom; theoretical density = 4.7 g/cm³; SG = F-43m (216)
1.0
8.2063 0.0000 0.0000
0.0000 8.2063 0.0000
0.0000 0.0000 8.2063
Ba Li Ca Tl
4 4 4 4
Cartesian
0.0000 0.0000 0.0000
0.0000 4.1031 4.1031
4.1031 0.0000 4.1031
4.1031 4.1031 0.0000
2.0516 2.0516 2.0516
2.0516 6.1547 6.1547
6.1547 2.0516 6.1547
6.1547 6.1547 2.0516
0.0000 0.0000 4.1031
0.0000 4.1031 0.0000
4.1031 0.0000 0.0000
4.1031 4.1031 4.1031
2.0516 2.0516 6.1547
2.0516 6.1547 2.0516
6.1547 2.0516 2.0516
6.1547 6.1547 6.1547

=====

U2SbMo (PBE-GGA, optimized geometry); E_form (uncorrected) = 0.06 eV per atom; DFT total energy = -9.32 eV/atom; theoretical density = 13.2 g/cm³; energy relative to the lowest polymorph listed for this composition = 40 meV per atom; SG = P4/mmm (123)
1.0
3.8546 0.0000 0.0000
0.0000 3.8546 0.0000
0.0000 0.0000 5.8777
U Sb Mo
2 1 1
Cartesian
0.0000 0.0000 1.3465
0.0000 0.0000 4.5312
1.9273 1.9273 2.9388
1.9273 1.9273 0.0000